Entry 1:
The following is a DFT calculation (PBEsol) of an optimized crystal structure of La2SnCl2.

D(E_F)   0.370 states/eV/atom
Formation energy from raw total energies   -1.521 eV per atom
Crystal system   tetragonal

Cell: 4.2919 4.2919 14.7686 Å, 90.00 90.00 90.00°
Element x y z (fractional)
La (0.0000, 0.0000, 0.1181)
La (0.0000, 0.0000, 0.8819)
La (0.5000, 0.5000, 0.3819)
La (0.5000, 0.5000, 0.6181)
Sn (0.0000, 0.0000, 0.5000)
Sn (0.5000, 0.5000, 0.0000)
Cl (0.0000, 0.5000, 0.2500)
Cl (0.0000, 0.5000, 0.7500)
Cl (0.5000, 0.0000, 0.2500)
Cl (0.5000, 0.0000, 0.7500)

Entry 2:
The following is a DFT calculation (PBEsol) of an optimized crystal structure of LaTaSnCl2.

D(E_F)   1.626 states/eV/atom
Formation energy from raw total energies   0.860 eV per atom
Crystal system   tetragonal

Cell: 5.1184 5.1184 6.4893 Å, 90.00 90.00 90.00°
Element x y z (fractional)
La (0.0000, 0.0000, 0.0000)
Ta (0.5000, 0.5000, 0.0000)
Sn (0.0000, 0.0000, 0.5000)
Cl (0.0000, 0.5000, 0.5000)
Cl (0.5000, 0.0000, 0.5000)

Entry 3:
The following is a DFT calculation (PBEsol) of an optimized crystal structure of SrLaCl.

D(E_F)   0.440 states/eV/atom
Formation energy from raw total energies   -0.927 eV per atom
Crystal system   orthorhombic

Cell: 4.0034 6.3455 15.3191 Å, 90.00 90.00 90.00°
Element x y z (fractional)
Sr (0.0000, 0.0000, 0.0000)
Sr (0.0000, 0.5000, 0.5000)
Sr (0.5000, 0.0000, 0.5000)
Sr (0.5000, 0.5000, 0.0000)
La (0.0000, 0.0000, 0.7045)
La (0.0000, 0.5000, 0.2045)
La (0.5000, 0.0000, 0.2045)
La (0.5000, 0.5000, 0.7045)
Cl (0.0000, 0.0000, 0.3547)
Cl (0.0000, 0.5000, 0.8547)
Cl (0.5000, 0.0000, 0.8547)
Cl (0.5000, 0.5000, 0.3547)

Entry 4:
The following is a DFT calculation (PBEsol) of an optimized crystal structure of Sr5La2Cl16.

D(E_F)   0.000 states/eV/atom
Formation energy from raw total energies   -2.355 eV per atom
Crystal system   orthorhombic

Cell: 8.9322 8.9322 18.5690 Å, 90.00 90.00 116.84°
Element x y z (fractional)
Sr (0.2500, 0.2500, 0.0986)
Sr (0.2500, 0.2500, 0.5986)
Sr (0.2500, 0.7500, 0.2500)
Sr (0.2500, 0.7500, 0.5318)
Sr (0.2500, 0.7500, 0.9682)
Sr (0.7500, 0.2500, 0.0318)
Sr (0.7500, 0.2500, 0.4682)
Sr (0.7500, 0.2500, 0.7500)
Sr (0.7500, 0.7500, 0.4014)
Sr (0.7500, 0.7500, 0.9014)
La (0.2500, 0.2500, 0.3560)
La (0.2500, 0.2500, 0.8560)
La (0.7500, 0.7500, 0.1440)
La (0.7500, 0.7500, 0.6440)
Cl (0.0113, 0.6047, 0.4146)
Cl (0.0275, 0.1857, 0.9663)
Cl (0.0795, 0.2830, 0.7391)
Cl (0.0959, 0.8848, 0.6411)
Cl (0.1047, 0.5113, 0.0854)
Cl (0.1152, 0.9041, 0.8589)
Cl (0.1857, 0.0275, 0.4663)
Cl (0.2170, 0.4205, 0.2391)
Cl (0.2830, 0.0795, 0.2391)
Cl (0.3143, 0.4725, 0.4663)
Cl (0.3848, 0.5959, 0.8589)
Cl (0.3953, 0.9887, 0.0854)
Cl (0.4041, 0.6152, 0.6411)
Cl (0.4205, 0.2170, 0.7391)
Cl (0.4725, 0.3143, 0.9663)
Cl (0.4887, 0.8953, 0.4146)
Cl (0.5113, 0.1047, 0.5854)
Cl (0.5275, 0.6857, 0.0337)
Cl (0.5795, 0.7830, 0.2609)
Cl (0.5959, 0.3848, 0.3589)
Cl (0.6047, 0.0113, 0.9146)
Cl (0.6152, 0.4041, 0.1411)
Cl (0.6857, 0.5275, 0.5337)
Cl (0.7170, 0.9205, 0.7609)
Cl (0.7830, 0.5795, 0.7609)
Cl (0.8143, 0.9725, 0.5337)
Cl (0.8848, 0.0959, 0.1411)
Cl (0.8953, 0.4887, 0.9146)
Cl (0.9041, 0.1152, 0.3589)
Cl (0.9205, 0.7170, 0.2609)
Cl (0.9725, 0.8143, 0.0337)
Cl (0.9887, 0.3953, 0.5854)

Entry 5:
The following is a DFT calculation (PBEsol) of an optimized crystal structure of Sr3La2Cl12.

D(E_F)   0.000 states/eV/atom
Formation energy from raw total energies   -2.413 eV per atom
Crystal system   orthorhombic

Cell: 16.0633 15.2915 8.4618 Å, 79.45 69.37 31.19°
Element x y z (fractional)
Sr (0.1250, 0.1250, 0.1250)
Sr (0.2101, 0.2101, 0.5399)
Sr (0.4601, 0.4601, 0.7899)
Sr (0.5399, 0.5399, 0.2101)
Sr (0.7899, 0.7899, 0.4601)
Sr (0.8750, 0.8750, 0.8750)
La (0.0466, 0.0466, 0.7034)
La (0.2966, 0.2966, 0.9534)
La (0.7034, 0.7034, 0.0466)
La (0.9534, 0.9534, 0.2966)
Cl (0.0197, 0.2306, 0.4917)
Cl (0.0722, 0.8494, 0.9185)
Cl (0.0815, 0.3401, 0.9278)
Cl (0.1506, 0.9278, 0.3401)
Cl (0.1612, 0.4169, 0.3153)
Cl (0.2306, 0.0197, 0.7580)
Cl (0.2420, 0.5083, 0.7694)
Cl (0.3153, 0.6066, 0.1612)
Cl (0.3401, 0.0815, 0.1506)
Cl (0.3934, 0.6847, 0.5831)
Cl (0.4169, 0.1612, 0.6066)
Cl (0.4917, 0.7580, 0.0197)
Cl (0.5083, 0.2420, 0.9803)
Cl (0.5831, 0.8388, 0.3934)
Cl (0.6066, 0.3153, 0.4169)
Cl (0.6599, 0.9185, 0.8494)
Cl (0.6847, 0.3934, 0.8388)
Cl (0.7580, 0.4917, 0.2306)
Cl (0.7694, 0.9803, 0.2420)
Cl (0.8388, 0.5831, 0.6847)
Cl (0.8494, 0.0722, 0.6599)
Cl (0.9185, 0.6599, 0.0722)
Cl (0.9278, 0.1506, 0.0815)
Cl (0.9803, 0.7694, 0.5083)

Entry 6:
The following is a DFT calculation (PBEsol) of an optimized crystal structure of SrLa2Cl2.

D(E_F)   1.447 states/eV/atom
Formation energy from raw total energies   -0.955 eV per atom
Crystal system   tetragonal

Cell: 4.4039 4.4039 18.4325 Å, 90.00 90.00 90.00°
Element x y z (fractional)
Sr (0.0000, 0.0000, 0.0000)
Sr (0.5000, 0.5000, 0.5000)
La (0.0000, 0.0000, 0.3535)
La (0.0000, 0.0000, 0.6465)
La (0.5000, 0.5000, 0.1465)
La (0.5000, 0.5000, 0.8535)
Cl (0.0000, 0.5000, 0.2500)
Cl (0.0000, 0.5000, 0.7500)
Cl (0.5000, 0.0000, 0.2500)
Cl (0.5000, 0.0000, 0.7500)

Entry 7:
The following is a DFT calculation (PBEsol) of an optimized crystal structure of SrLaTe2Cl.

D(E_F)   0.972 states/eV/atom
Formation energy from raw total energies   -0.431 eV per atom
Crystal system   tetragonal

Cell: 5.8575 5.8575 7.5540 Å, 90.00 90.00 90.00°
Element x y z (fractional)
Sr (0.0000, 0.0000, 0.0000)
La (0.0000, 0.0000, 0.5000)
Te (0.0000, 0.5000, 0.5000)
Te (0.5000, 0.0000, 0.5000)
Cl (0.5000, 0.5000, 0.0000)

Entry 8:
The following is a DFT calculation (PBEsol) of an optimized crystal structure of LaTaCl2.

D(E_F)   0.511 states/eV/atom
Formation energy from raw total energies   -0.212 eV per atom
Crystal system   tetragonal

Cell: 3.2637 3.2637 9.7392 Å, 90.00 90.00 90.00°
Element x y z (fractional)
La (0.0000, 0.0000, 0.0000)
Ta (0.0000, 0.0000, 0.5000)
Cl (0.5000, 0.5000, 0.1762)
Cl (0.5000, 0.5000, 0.8238)

Entry 9:
The following is a DFT calculation (PBEsol) of an optimized crystal structure of La2TaCl.

D(E_F)   0.982 states/eV/atom
Formation energy from raw total energies   -0.258 eV per atom
Crystal system   tetragonal
Distance to the lowest polymorph of the same formula   56 meV per atom

Cell: 5.5396 5.5396 3.2040 Å, 90.00 90.00 90.00°
Element x y z (fractional)
La (0.0000, 0.5000, 0.0000)
La (0.5000, 0.0000, 0.0000)
Ta (0.0000, 0.0000, 0.5000)
Cl (0.5000, 0.5000, 0.5000)

Entry 10:
The following is a DFT calculation (PBEsol) of an optimized crystal structure of La2TaCl.

D(E_F)   0.826 states/eV/atom
Formation energy from raw total energies   -0.315 eV per atom
Crystal system   trigonal
Distance to the lowest polymorph of the same formula   0 meV per atom

Cell: 3.3989 3.3989 29.6388 Å, 90.00 90.00 120.00°
Element x y z (fractional)
La (0.0000, 0.0000, 0.2479)
La (0.0000, 0.0000, 0.7521)
La (0.3333, 0.6667, 0.4188)
La (0.3333, 0.6667, 0.9146)
La (0.6667, 0.3333, 0.0854)
La (0.6667, 0.3333, 0.5812)
Ta (0.0000, 0.0000, 0.0000)
Ta (0.3333, 0.6667, 0.6667)
Ta (0.6667, 0.3333, 0.3333)
Cl (0.0000, 0.0000, 0.5000)
Cl (0.3333, 0.6667, 0.1667)
Cl (0.6667, 0.3333, 0.8333)

Entry 11:
The following is a DFT calculation (PBEsol) of an optimized crystal structure of LaTa3Cl.

D(E_F)   1.063 states/eV/atom
Formation energy from raw total energies   0.696 eV per atom
Crystal system   cubic

Cell: 4.6735 4.6735 4.6735 Å, 90.00 90.00 90.00°
Element x y z (fractional)
La (0.0000, 0.0000, 0.0000)
Ta (0.0000, 0.5000, 0.5000)
Ta (0.5000, 0.0000, 0.5000)
Ta (0.5000, 0.5000, 0.0000)
Cl (0.5000, 0.5000, 0.5000)

Entry 12:
The following is a DFT calculation (PBEsol) of an optimized crystal structure of La2TaCl.

D(E_F)   1.173 states/eV/atom
Formation energy from raw total energies   -0.282 eV per atom
Crystal system   orthorhombic
Distance to the lowest polymorph of the same formula   32 meV per atom

Cell: 3.2679 3.6850 17.3288 Å, 90.00 90.00 90.00°
Element x y z (fractional)
La (0.0000, 0.0000, 0.0000)
La (0.0000, 0.5000, 0.2584)
La (0.5000, 0.0000, 0.7584)
La (0.5000, 0.5000, 0.5000)
Ta (0.0000, 0.5000, 0.8712)
Ta (0.5000, 0.0000, 0.3712)
Cl (0.0000, 0.0000, 0.6056)
Cl (0.5000, 0.5000, 0.1056)

Entry 13:
The following is a DFT calculation (PBEsol) of an optimized crystal structure of LaTaTiCl2.

D(E_F)   2.877 states/eV/atom
Formation energy from raw total energies   0.949 eV per atom
Crystal system   tetragonal

Cell: 5.1632 5.1632 6.2016 Å, 90.00 90.00 90.00°
Element x y z (fractional)
La (0.0000, 0.0000, 0.0000)
Ta (0.5000, 0.5000, 0.5000)
Ti (0.0000, 0.0000, 0.5000)
Cl (0.0000, 0.5000, 0.0000)
Cl (0.5000, 0.0000, 0.0000)